1.
# PmGa4Ag | Alexandria via LeMat-Bulk | PBE | relaxed
# **Energy relative to the elements**: -0.22 eV/atom
# **Total moment**: 0.00 μB per formula unit
data_PmGa4Ag
_chemical_formula_sum 'Pm1 Ga4 Ag1'
_symmetry_space_group_name_H-M 'P -1'
_symmetry_Int_Tables_number 2
_symmetry_space_group_name_Hall '-P 1'
_cell_length_a 3.5060
_cell_length_b 3.6084
_cell_length_c 9.5783
_cell_angle_alpha 90.04
_cell_angle_beta 90.01
_cell_angle_gamma 95.35
loop_
_atom_site_label
_atom_site_type_symbol
_atom_site_fract_x
_atom_site_fract_y
_atom_site_fract_z
Pm1 Pm 0.0000 0.0000 0.0000
Ga1 Ga 0.0014 0.9987 0.3472
Ga2 Ga 0.4974 0.5014 0.7915
Ag1 Ag 0.5000 0.5000 0.5000

2.
# AcCd3AgPd | Alexandria via LeMat-Bulk | PBE | relaxed
# **Energy relative to the elements**: -0.23 eV/atom
# **Total moment**: 0.00 μB per formula unit
data_AcCd3AgPd
_chemical_formula_sum 'Ac4 Cd12 Ag4 Pd4'
_symmetry_space_group_name_H-M 'C m c m'
_symmetry_Int_Tables_number 63
_symmetry_space_group_name_Hall '-C 2c 2'
_cell_length_a 7.1829
_cell_length_b 14.0631
_cell_length_c 5.8631
_cell_angle_alpha 90.00
_cell_angle_beta 90.00
_cell_angle_gamma 90.00
loop_
_atom_site_label
_atom_site_type_symbol
_atom_site_fract_x
_atom_site_fract_y
_atom_site_fract_z
Ac1 Ac 0.0000 0.2108 0.2500
Cd1 Cd 0.0000 0.3555 0.7500
Cd2 Cd 0.1986 0.0000 0.0000
Ag1 Ag 0.0000 0.4301 0.2500
Pd1 Pd 0.0000 0.1552 0.7500

3.
# CuOs2Ru | Alexandria via LeMat-Bulk | PBE | relaxed
# **Energy relative to the elements**: 0.29 eV/atom
# **Total moment**: 0.00 μB per formula unit
data_CuOs2Ru
_chemical_formula_sum 'Cu2 Os4 Ru2'
_symmetry_space_group_name_H-M 'C 1 2/m 1'
_symmetry_Int_Tables_number 12
_symmetry_space_group_name_Hall '-C 2y'
_cell_length_a 8.9721
_cell_length_b 2.7086
_cell_length_c 4.6310
_cell_angle_alpha 90.00
_cell_angle_beta 99.77
_cell_angle_gamma 90.00
loop_
_atom_site_label
_atom_site_type_symbol
_atom_site_fract_x
_atom_site_fract_y
_atom_site_fract_z
Cu1 Cu 0.0000 0.0000 0.0000
Os1 Os 0.2445 0.0000 0.7510
Ru1 Ru 0.0000 0.5000 0.5000

4.
# HfTc3Hg | Alexandria via LeMat-Bulk | PBE | relaxed
# **Energy relative to the elements**: 2.25 eV/atom
# **Total moment**: 4.10 μB per formula unit
data_HfTc3Hg
_chemical_formula_sum 'Hf1 Tc3 Hg1'
_symmetry_space_group_name_H-M 'P m -3 m'
_symmetry_Int_Tables_number 221
_symmetry_space_group_name_Hall '-P 4 2 3'
_cell_length_a 4.8602
_cell_length_b 4.8602
_cell_length_c 4.8602
_cell_angle_alpha 90.00
_cell_angle_beta 90.00
_cell_angle_gamma 90.00
loop_
_atom_site_label
_atom_site_type_symbol
_atom_site_fract_x
_atom_site_fract_y
_atom_site_fract_z
Hf1 Hf 0.0000 0.0000 0.0000
Tc1 Tc 0.0000 0.5000 0.5000
Hg1 Hg 0.5000 0.5000 0.5000

5.
# RbTc3P | Alexandria via LeMat-Bulk | PBE | relaxed
# **Energy relative to the elements**: 3.48 eV/atom
# **Total moment**: 3.08 μB per formula unit
data_RbTc3P
_chemical_formula_sum 'Rb1 Tc3 P1'
_symmetry_space_group_name_H-M 'P m -3 m'
_symmetry_Int_Tables_number 221
_symmetry_space_group_name_Hall '-P 4 2 3'
_cell_length_a 4.7046
_cell_length_b 4.7046
_cell_length_c 4.7046
_cell_angle_alpha 90.00
_cell_angle_beta 90.00
_cell_angle_gamma 90.00
loop_
_atom_site_label
_atom_site_type_symbol
_atom_site_fract_x
_atom_site_fract_y
_atom_site_fract_z
Rb1 Rb 0.0000 0.0000 0.0000
Tc1 Tc 0.0000 0.0000 0.5000
P1 P 0.5000 0.5000 0.5000

6.
# BPRhCS | Alexandria via LeMat-Bulk | PBE | relaxed
# **Total moment**: 0.00 μB per formula unit
data_BPRhCS
_chemical_formula_sum 'B1 P1 Rh1 C1 S1'
_symmetry_space_group_name_H-M 'P 1'
_symmetry_Int_Tables_number 1
_symmetry_space_group_name_Hall 'P 1'
_cell_length_a 3.6093
_cell_length_b 4.4101
_cell_length_c 4.7247
_cell_angle_alpha 102.66
_cell_angle_beta 96.43
_cell_angle_gamma 91.17
loop_
_atom_site_label
_atom_site_type_symbol
_atom_site_fract_x
_atom_site_fract_y
_atom_site_fract_z
B1 B 0.0000 0.0000 0.0000
P1 P 0.8808 0.2758 0.7453
Rh1 Rh 0.3157 0.1922 0.4184
C1 C 0.0137 0.6504 0.9747
S1 S 0.3257 0.6526 0.2789

7.
# Tb3DyMg7 | Alexandria via LeMat-Bulk | PBE | relaxed
# **Energy relative to the elements**: 0.19 eV/atom
# **Total moment**: 0.00 μB per formula unit
data_Tb3DyMg7
_chemical_formula_sum 'Tb6 Dy2 Mg14'
_symmetry_space_group_name_H-M 'C 1 2/m 1'
_symmetry_Int_Tables_number 12
_symmetry_space_group_name_Hall '-C 2y'
_cell_length_a 10.7394
_cell_length_b 10.2069
_cell_length_c 6.0901
_cell_angle_alpha 90.00
_cell_angle_beta 107.76
_cell_angle_gamma 90.00
loop_
_atom_site_label
_atom_site_type_symbol
_atom_site_fract_x
_atom_site_fract_y
_atom_site_fract_z
Tb1 Tb 0.0000 0.0000 0.0000
Tb2 Tb 0.0000 0.1933 0.5000
Dy1 Dy 0.0000 0.5000 0.0000
Mg1 Mg 0.0000 0.5000 0.5000
Mg2 Mg 0.1922 0.2444 0.1886
Mg3 Mg 0.2381 0.0000 0.5209

8.
# NbTc | Alexandria via LeMat-Bulk | PBE | relaxed
# **Energy relative to the elements**: 0.45 eV/atom
# **Total moment**: 0.00 μB per formula unit
data_NbTc
_chemical_formula_sum 'Nb2 Tc2'
_symmetry_space_group_name_H-M 'I m m m'
_symmetry_Int_Tables_number 71
_symmetry_space_group_name_Hall '-I 2 2'
_cell_length_a 3.0288
_cell_length_b 4.4938
_cell_length_c 5.1303
_cell_angle_alpha 90.00
_cell_angle_beta 90.00
_cell_angle_gamma 90.00
loop_
_atom_site_label
_atom_site_type_symbol
_atom_site_fract_x
_atom_site_fract_y
_atom_site_fract_z
Nb1 Nb 0.0000 0.0000 0.0000
Tc1 Tc 0.0000 0.0000 0.5000

9.
# Th4Ir3Au | Alexandria via LeMat-Bulk | PBE | relaxed
# **Energy relative to the elements**: -0.90 eV/atom
# **Total moment**: 0.00 μB per formula unit
data_Th4Ir3Au
_chemical_formula_sum 'Th8 Ir6 Au2'
_symmetry_space_group_name_H-M 'C m m 2'
_symmetry_Int_Tables_number 35
_symmetry_space_group_name_Hall 'C 2 -2'
_cell_length_a 8.4267
_cell_length_b 11.7980
_cell_length_c 4.1573
_cell_angle_alpha 90.00
_cell_angle_beta 90.00
_cell_angle_gamma 90.00
loop_
_atom_site_label
_atom_site_type_symbol
_atom_site_fract_x
_atom_site_fract_y
_atom_site_fract_z
Th1 Th 0.0000 0.2428 0.0000
Th2 Th 0.2338 0.0000 0.4991
Ir1 Ir 0.0000 0.0000 0.9992
Ir2 Ir 0.2500 0.2500 0.5001
Au1 Au 0.0000 0.5000 0.9990

10.
# Pa2InW | Alexandria via LeMat-Bulk | PBE | relaxed
# **Energy relative to the elements**: 0.52 eV/atom
# **Total moment**: 0.00 μB per formula unit
data_Pa2InW
_chemical_formula_sum 'Pa6 In3 W3'
_symmetry_space_group_name_H-M 'R -3 m'
_symmetry_Int_Tables_number 166
_symmetry_space_group_name_Hall '-R 3 2"'
_cell_length_a 3.0924
_cell_length_b 3.0924
_cell_length_c 33.5278
_cell_angle_alpha 90.00
_cell_angle_beta 90.00
_cell_angle_gamma 120.00
loop_
_atom_site_label
_atom_site_type_symbol
_atom_site_fract_x
_atom_site_fract_y
_atom_site_fract_z
Pa1 Pa 0.0000 0.0000 0.0801
In1 In 0.0000 0.0000 0.5000
W1 W 0.0000 0.0000 0.0000

11.
# Rb2PuTlBr6 | Alexandria via LeMat-Bulk | PBE | relaxed
# **Total moment**: 5.00 μB per formula unit
data_Rb2PuTlBr6
_chemical_formula_sum 'Rb4 Pu2 Tl2 Br12'
_symmetry_space_group_name_H-M 'P 1 21/c 1'
_symmetry_Int_Tables_number 14
_symmetry_space_group_name_Hall '-P 2ybc'
_cell_length_a 8.0712
_cell_length_b 8.6704
_cell_length_c 14.0908
_cell_angle_alpha 90.00
_cell_angle_beta 124.23
_cell_angle_gamma 90.00
loop_
_atom_site_label
_atom_site_type_symbol
_atom_site_fract_x
_atom_site_fract_y
_atom_site_fract_z
Rb1 Rb 0.2189 0.0772 0.2485
Pu1 Pu 0.5000 0.0000 0.0000
Tl1 Tl 0.0000 0.0000 0.5000
Br1 Br 0.1560 0.1815 0.9430
Br2 Br 0.2667 0.7190 0.9367
Br3 Br 0.3879 0.0465 0.7684

12.
# Np2PH2Se | Alexandria via LeMat-Bulk | PBE | relaxed
# **Total moment**: 6.99 μB per formula unit
data_Np2PH2Se
_chemical_formula_sum 'Np2 P1 H2 Se1'
_symmetry_space_group_name_H-M 'P -3 m 1'
_symmetry_Int_Tables_number 164
_symmetry_space_group_name_Hall '-P 3 2"'
_cell_length_a 3.8248
_cell_length_b 3.8248
_cell_length_c 7.4373
_cell_angle_alpha 90.00
_cell_angle_beta 90.00
_cell_angle_gamma 120.00
loop_
_atom_site_label
_atom_site_type_symbol
_atom_site_fract_x
_atom_site_fract_y
_atom_site_fract_z
Np1 Np 0.3333 0.6667 0.2355
P1 P 0.0000 0.0000 0.0000
H1 H 0.3333 0.6667 0.7576
Se1 Se 0.0000 0.0000 0.5000

VASP energy in eV per cell, matching the order above: -21.037 -65.039 -69.318 -30.099 -20.068 -31.883 -55.056 -39.055 -133.542 -97.820 -87.565 -46.107